Below is a geometry-optimized Rb3Ti2NbO8 structure, with properties calculated at the PBE-GGA level.

Lattice parameters (Å, degrees): 5.9447 5.9447 8.0590 90.00 90.00 120.00
Space group P-3m1 (No. 164)
Symmetry-distinct sites (fractional):
Rb: 0.0000 0.0000 0.0000 [1 per cell]
Rb: 0.3333 0.6667 0.7299 [2 per cell]
Ti: 0.3333 0.6667 0.2812 [2 per cell]
Nb: 0.0000 0.0000 0.5000 [1 per cell]
O: 0.1604 0.3209 0.3553 [6 per cell]
O: 0.3333 0.6667 0.0677 [2 per cell]

Calculated values
The value obtained for the density is 3.86 g cm⁻³. For the total energy, the calculation gives -7.43 eV per atom. Its calculated volume is 247 Å³/cell.

***

Below is a geometry-optimized Rb2TiNbO6 structure, with properties calculated at the PBE-GGA level.

Lattice parameters (Å, degrees): 5.9815 5.9815 29.0193 90.00 90.00 120.00
Space group R-3m (No. 166, hexagonal axes)
Symmetry-distinct sites (fractional):
Rb: 0.0000 0.0000 0.1319 [6 per cell]
Rb: 0.0000 0.0000 0.2811 [6 per cell]
Ti: 0.0000 0.0000 0.0000 [3 per cell]
Ti: 0.0000 0.0000 0.5000 [3 per cell]
Nb: 0.0000 0.0000 0.4016 [6 per cell]
O: 0.0051 0.5026 0.7048 [18 per cell]
O: 0.0516 0.5258 0.1215 [18 per cell]

Calculated values
The value obtained for the density is 4.52 g cm⁻³. For the total energy, the calculation gives -7.22 eV per atom. Its calculated volume is 899 Å³/cell.

***

Below is a geometry-optimized Rb2TiNb3O12 structure, with properties calculated at the PBE-GGA level.

Lattice parameters (Å, degrees): 7.5212 7.5212 18.1964 90.00 90.00 120.00
Space group R-3m (No. 166, hexagonal axes)
Symmetry-distinct sites (fractional):
Rb: 0.0000 0.0000 0.1258 [6 per cell]
Ti: 0.0000 0.0000 0.5000 [3 per cell]
Nb: 0.0000 0.5000 0.0000 [9 per cell]
O: 0.0817 0.5409 0.3563 [18 per cell]
O: 0.0884 0.5442 0.1051 [18 per cell]

Calculated values
The value obtained for the density is 3.85 g cm⁻³. For the total energy, the calculation gives -7.71 eV per atom. Its calculated volume is 891 Å³/cell.

***

Below is a geometry-optimized RbTiNbO5 structure, with properties calculated at the PBE-GGA level.

Lattice parameters (Å, degrees): 6.541 3.848 19.400 90.00 90.00 90.00
Space group Pnma (No. 62)
Symmetry-distinct sites (fractional):
Rb: 0.221 0.250 0.193 [4 per cell]
Ti: 0.178 0.250 0.533 [4 per cell]
Nb: 0.224 0.250 0.895 [4 per cell]
O: 0.030 0.250 0.616 [4 per cell]
O: 0.071 0.750 0.071 [4 per cell]
O: 0.143 0.750 0.510 [4 per cell]
O: 0.158 0.250 0.804 [4 per cell]
O: 0.234 0.750 0.924 [4 per cell]

Calculated values
The value obtained for the density is 4.17 g cm⁻³. For the total energy, the calculation gives -8.14 eV per atom. Its calculated volume is 488 Å³/cell.

***

Below is a geometry-optimized Rb2NbTlO5 structure, with properties calculated at the PBE-GGA level.

Lattice parameters (Å, degrees): 3.280 15.315 13.639 90.00 90.00 90.00
Space group Cmc2_1 (No. 36)
Symmetry-distinct sites (fractional):
Rb: 0.000 0.071 0.000 [4 per cell]
Rb: 0.000 0.152 0.643 [4 per cell]
Nb: 0.000 0.231 0.373 [4 per cell]
Tl: 0.000 0.449 0.774 [4 per cell]
O: 0.000 0.081 0.377 [4 per cell]
O: 0.000 0.269 0.966 [4 per cell]
O: 0.000 0.294 0.777 [4 per cell]
O: 0.000 0.347 0.345 [4 per cell]
O: 0.000 0.496 0.139 [4 per cell]

Calculated values
The value obtained for the density is 5.31 g cm⁻³. For the total energy, the calculation gives -6.00 eV per atom. Its calculated volume is 685 Å³/cell.

***

Below is a geometry-optimized RbNb2TlO6 structure, with properties calculated at the PBE-GGA level.

Lattice parameters (Å, degrees): 12.365 11.337 6.553 90.00 105.32 90.00
Space group C2/c (No. 15)
Symmetry-distinct sites (fractional):
Rb: 0.000 0.103 0.250 [4 per cell]
Nb: 0.219 0.416 0.235 [8 per cell]
Tl: 0.000 0.284 0.750 [4 per cell]
O: 0.129 0.110 0.690 [8 per cell]
O: 0.148 0.276 0.173 [8 per cell]
O: 0.179 0.489 0.477 [8 per cell]

Calculated values
The value obtained for the density is 4.29 g cm⁻³. For the total energy, the calculation gives -7.50 eV per atom. Its calculated volume is 886 Å³/cell.

***

Below is a geometry-optimized Rb3Tm3NbO8 structure, with properties calculated at the PBE-GGA level.

Lattice parameters (Å, degrees): 6.7701 6.7701 19.7135 90.00 90.00 120.00
Space group R-3m (No. 166, hexagonal axes)
Symmetry-distinct sites (fractional):
Rb: 0.0000 0.5000 0.0000 [9 per cell]
Tm: 0.0000 0.5000 0.5000 [9 per cell]
Nb: 0.0000 0.0000 0.5000 [3 per cell]
O: 0.0000 0.0000 0.2236 [6 per cell]
O: 0.0177 0.5089 0.2201 [18 per cell]

Calculated values
The value obtained for the density is 6.27 g cm⁻³. For the total energy, the calculation gives -7.11 eV per atom. Its calculated volume is 782 Å³/cell.

***

Below is a geometry-optimized Rb3TmNb2O9 structure, with properties calculated at the PBE-GGA level.

Lattice parameters (Å, degrees): 5.9840 5.9840 7.3639 90.00 90.00 120.00
Space group P-3m1 (No. 164)
Symmetry-distinct sites (fractional):
Rb: 0.0000 0.0000 0.0000 [1 per cell]
Rb: 0.3333 0.6667 0.6712 [2 per cell]
Tm: 0.0000 0.0000 0.5000 [1 per cell]
Nb: 0.3333 0.6667 0.1818 [2 per cell]
O: 0.0000 0.5000 0.0000 [3 per cell]
O: 0.1750 0.3499 0.3190 [6 per cell]

Calculated values
The value obtained for the density is 5.49 g cm⁻³. For the total energy, the calculation gives -7.08 eV per atom. Its calculated volume is 228 Å³/cell.

***

- Which formula does entry 5 have?
  Rb2NbTlO5

***

Copy entry 2 word for word.
Below is a geometry-optimized Rb2TiNbO6 structure, with properties calculated at the PBE-GGA level.

Lattice parameters (Å, degrees): 5.9815 5.9815 29.0193 90.00 90.00 120.00
Space group R-3m (No. 166, hexagonal axes)
Symmetry-distinct sites (fractional):
Rb: 0.0000 0.0000 0.1319 [6 per cell]
Rb: 0.0000 0.0000 0.2811 [6 per cell]
Ti: 0.0000 0.0000 0.0000 [3 per cell]
Ti: 0.0000 0.0000 0.5000 [3 per cell]
Nb: 0.0000 0.0000 0.4016 [6 per cell]
O: 0.0051 0.5026 0.7048 [18 per cell]
O: 0.0516 0.5258 0.1215 [18 per cell]

Calculated values
The value obtained for the density is 4.52 g cm⁻³. For the total energy, the calculation gives -7.22 eV per atom. Its calculated volume is 899 Å³/cell.

***

- calculated volume of number 8 (Rb3TmNb2O9)?
  228 Å³/cell

***

- Which of these has the lowest calculated volume?
  Rb3TmNb2O9